Density functional theory data (GGA-PBE) for a relaxed NdTm2ScP4 crystal.

Results
- mass density (g/cm³) = 6.14
- formation energy from the elements (eV per atom) = -1.52
- N(E_F) (states/eV/atom) = 0.09

abc: 6.8563 3.9678 6.8673
angles: 90.00 109.45 90.00
Closest atoms and distances in Å follow each position.
Element x y z (fractional)
1 Nd 0.0000 0.0000 0.0000  6 P 2.85-2.86
2 Tm 0.0000 0.5000 0.5000  6 P 2.84
3 Tm 0.5000 0.0000 0.5000  6 P 2.75
4 Sc 0.5000 0.5000 0.0000  6 P 2.76-2.77
5 P 0.2615 0.0000 0.7526  3 Tm 2.75-2.84, 2 Sc 2.77, 1 Nd 2.85
6 P 0.2627 0.5000 0.2556  3 Tm 2.75-2.84, 1 Sc 2.76, 2 Nd 2.86
7 P 0.7373 0.5000 0.7444  3 Tm 2.75-2.84, 1 Sc 2.76, 2 Nd 2.86
8 P 0.7385 0.0000 0.2474  3 Tm 2.75-2.84, 2 Sc 2.77, 1 Nd 2.85

Density functional theory data (GGA-PBE) for a relaxed Li2RuO2 crystal.

Results
- ΔE_f (raw) (eV per atom) = -1.151
- mass density (g/cm³) = 5.48
- excess energy over the best structure of this formula in the dataset (eV per atom) = 0.0000
- N(E_F) (states/eV/atom) = 0.53

abc: 5.6319 5.6319 2.8097
angles: 90.00 90.00 90.00
Closest atoms and distances in Å follow each position.
Element x y z (fractional)
1 Li 0.1355 0.3645 0.0000  6 O 2.05-2.26, 1 Li 2.16
2 Li 0.3645 0.8645 0.0000  6 O 2.05-2.26, 1 Li 2.16
3 Li 0.6355 0.1355 0.0000  6 O 2.05-2.26, 1 Li 2.16
4 Li 0.8645 0.6355 0.0000  6 O 2.05-2.26, 1 Li 2.16
5 Ru 0.0000 0.0000 0.5000  4 O 2.08
6 Ru 0.5000 0.5000 0.5000  4 O 2.08
7 O 0.1766 0.6766 0.5000  6 Li 2.05-2.26, 2 Ru 2.08
8 O 0.3234 0.1766 0.5000  6 Li 2.05-2.26, 2 Ru 2.08
9 O 0.6766 0.8234 0.5000  6 Li 2.05-2.26, 2 Ru 2.08
10 O 0.8234 0.3234 0.5000  6 Li 2.05-2.26, 2 Ru 2.08

Density functional theory data (GGA-PBE) for a relaxed Ti4NbAg crystal.

Results
- mass density (g/cm³) = 5.38
- formation energy from the elements (eV per atom) = 0.61
- N(E_F) (states/eV/atom) = 1.10

abc: 5.4438 5.4532 8.1547
angles: 90.00 90.00 90.00
Closest atoms and distances in Å follow each position.
Element x y z (fractional)
1 Ti 0.2500 0.2500 0.2409  4 Ti 2.72-2.73, 2 Nb 2.75, 2 Ag 2.86
2 Ti 0.2500 0.2500 0.7591  4 Ti 2.72-2.73, 2 Nb 2.75, 2 Ag 2.86
3 Ti 0.2500 0.7500 0.2409  4 Ti 2.72-2.73, 2 Nb 2.75, 2 Ag 2.86
4 Ti 0.2500 0.7500 0.7591  4 Ti 2.72-2.73, 2 Nb 2.75, 2 Ag 2.86
5 Ti 0.7500 0.2500 0.2409  4 Ti 2.72-2.73, 2 Nb 2.75, 2 Ag 2.86
6 Ti 0.7500 0.2500 0.7591  4 Ti 2.72-2.73, 2 Nb 2.75, 2 Ag 2.86
7 Ti 0.7500 0.7500 0.2409  4 Ti 2.72-2.73, 2 Nb 2.75, 2 Ag 2.86
8 Ti 0.7500 0.7500 0.7591  4 Ti 2.72-2.73, 2 Nb 2.75, 2 Ag 2.86
9 Nb 0.0000 0.0000 0.0000  8 Ti 2.75
10 Nb 0.5000 0.5000 0.0000  8 Ti 2.75
11 Ag 0.0000 0.5000 0.5000  8 Ti 2.86
12 Ag 0.5000 0.0000 0.5000  8 Ti 2.86

Density functional theory data (GGA-PBE) for a relaxed La6Pm7 crystal.

Results
- mass density (g/cm³) = 6.55
- formation energy from the elements (eV per atom) = 0.21
- N(E_F) (states/eV/atom) = 2.25

abc: 12.4198 12.4198 12.4198
angles: 31.65 31.65 31.65
Closest atoms and distances in Å follow each position.
Element x y z (fractional)
1 La 0.0486 0.0486 0.0486  2 La 3.44-3.73, 6 Pm 3.62
2 La 0.1541 0.1541 0.1541  4 La 3.73-4.01, 6 Pm 3.85-3.94
3 La 0.3356 0.3356 0.3356  6 Pm 3.54-3.63, 3 La 3.91
4 La 0.6644 0.6644 0.6644  6 Pm 3.54-3.63, 3 La 3.91
5 La 0.8459 0.8459 0.8459  4 La 3.73-4.01, 6 Pm 3.85-3.94
6 La 0.9514 0.9514 0.9514  2 La 3.44-3.73, 6 Pm 3.62
7 Pm 0.0781 0.5882 0.5882  5 Pm 3.32-3.52, 4 La 3.54-3.63
8 Pm 0.4118 0.4118 0.9219  5 Pm 3.32-3.52, 4 La 3.54-3.63
9 Pm 0.4118 0.9219 0.4118  5 Pm 3.32-3.52, 4 La 3.54-3.63
10 Pm 0.5000 0.5000 0.5000  6 Pm 3.52, 6 La 3.94
11 Pm 0.5882 0.0781 0.5882  5 Pm 3.32-3.52, 4 La 3.54-3.63
12 Pm 0.5882 0.5882 0.0781  5 Pm 3.32-3.52, 4 La 3.54-3.63
13 Pm 0.9219 0.4118 0.4118  5 Pm 3.32-3.52, 4 La 3.54-3.63

Density functional theory data (GGA-PBE) for a relaxed InRe2Hg crystal.

Results
- mass density (g/cm³) = 14.76
- formation energy from the elements (eV per atom) = 0.71
- excess energy over the best structure of this formula in the dataset (eV per atom) = 0.4185
- N(E_F) (states/eV/atom) = 0.54

abc: 2.8177 4.8175 11.3998
angles: 90.00 90.00 90.00
Closest atoms and distances in Å follow each position.
Element x y z (fractional)
1 In 0.0000 0.0000 0.0000  2 In 2.82, 6 Re 2.91-3.12
2 In 0.5000 0.5000 0.5000  2 In 2.82, 6 Re 2.91-3.12
3 Re 0.0000 0.0000 0.4289  4 Re 2.53-2.82
4 Re 0.0000 0.5000 0.7446  4 Re 2.53-2.82
5 Re 0.5000 0.0000 0.2446  4 Re 2.53-2.82
6 Re 0.5000 0.5000 0.9289  4 Re 2.53-2.82
7 Hg 0.0000 0.5000 0.1949  2 Hg 2.82, 4 Re 2.85
8 Hg 0.5000 0.0000 0.6949  2 Hg 2.82, 4 Re 2.85

Density functional theory data (GGA-PBE) for a relaxed Tb4Ho3Er5 crystal.

Results
- mass density (g/cm³) = 8.57
- formation energy from the elements (eV per atom) = 0.24
- excess energy over the best structure of this formula in the dataset (eV per atom) = 0.2254
- N(E_F) (states/eV/atom) = 1.62

abc: 8.4547 8.4547 9.1968
angles: 114.70 114.70 40.33
Closest atoms and distances in Å follow each position.
Element x y z (fractional)
1 Tb 0.0816 0.0816 0.4416  1 Tb 3.22, 1 Ho 3.36, 3 Er 3.39-3.50
2 Tb 0.2139 0.2139 0.8796  3 Ho 3.28-3.49, 3 Tb 3.53-3.62, 3 Er 3.60-3.62
3 Tb 0.7861 0.7861 0.1204  3 Ho 3.28-3.49, 3 Tb 3.53-3.62, 3 Er 3.60-3.62
4 Tb 0.9184 0.9184 0.5584  1 Tb 3.22, 1 Ho 3.36, 3 Er 3.39-3.50
5 Ho 0.2099 0.2099 0.2334  5 Er 3.06-3.40, 2 Tb 3.28-3.36
6 Ho 0.5000 0.5000 0.0000  2 Er 2.91
7 Ho 0.7901 0.7901 0.7666  5 Er 3.06-3.40, 2 Tb 3.28-3.36
8 Er 0.0000 0.0000 0.0000  4 Ho 2.91-3.06
9 Er 0.3276 0.3276 0.6143  4 Ho 3.15-3.40, 3 Tb 3.39-3.50
10 Er 0.4273 0.4273 0.2994  2 Ho 3.23-3.43, 2 Er 3.37-3.61, 2 Tb 3.60
11 Er 0.5727 0.5727 0.7006  2 Ho 3.23-3.43, 2 Er 3.37-3.61, 2 Tb 3.60
12 Er 0.6724 0.6724 0.3857  4 Ho 3.15-3.40, 3 Tb 3.39-3.50

Density functional theory data (GGA-PBE) for a relaxed Na4DyEr3Se8 crystal.

Results
- ΔE_f (raw) (eV per atom) = -1.705
- mass density (g/cm³) = 5.59
- N(E_F) (states/eV/atom) = 0.00

abc: 8.4681 8.4681 8.4681
angles: 58.23 58.23 58.23
Closest atoms and distances in Å follow each position.
Element x y z (fractional)
1 Na 0.0000 0.0000 0.0000  6 Se 3.04
2 Na 0.0000 0.5000 0.5000  6 Se 3.05
3 Na 0.5000 0.0000 0.5000  6 Se 3.05
4 Na 0.5000 0.5000 0.0000  6 Se 3.05
5 Dy 0.5000 0.5000 0.5000  6 Se 2.88
6 Er 0.0000 0.0000 0.5000  6 Se 2.86
7 Er 0.0000 0.5000 0.0000  6 Se 2.86
8 Er 0.5000 0.0000 0.0000  6 Se 2.86
9 Se 0.2411 0.7436 0.7436  2 Er 2.86, 1 Dy 2.88, 3 Na 3.04-3.05
10 Se 0.2424 0.2424 0.2424  3 Er 2.86, 3 Na 3.05
11 Se 0.2564 0.2564 0.7589  2 Er 2.86, 1 Dy 2.88, 3 Na 3.04-3.05
12 Se 0.2564 0.7589 0.2564  2 Er 2.86, 1 Dy 2.88, 3 Na 3.04-3.05
13 Se 0.7436 0.2411 0.7436  2 Er 2.86, 1 Dy 2.88, 3 Na 3.04-3.05
14 Se 0.7436 0.7436 0.2411  2 Er 2.86, 1 Dy 2.88, 3 Na 3.04-3.05
15 Se 0.7576 0.7576 0.7576  3 Er 2.86, 3 Na 3.05
16 Se 0.7589 0.2564 0.2564  2 Er 2.86, 1 Dy 2.88, 3 Na 3.04-3.05

Density functional theory data (GGA-PBE) for a relaxed LiCaNd2In4 crystal.

Results
- mass density (g/cm³) = 6.04
- formation energy from the elements (eV per atom) = -0.42
- N(E_F) (states/eV/atom) = 0.61

abc: 9.3380 9.3380 9.3380
angles: 33.30 33.30 33.30
Closest atoms and distances in Å follow each position.
Element x y z (fractional)
1 Li 0.0000 0.0000 0.0000  8 In 3.23-3.26
2 Ca 0.5000 0.5000 0.5000  8 In 3.31-3.35
3 Nd 0.2525 0.2525 0.2525  8 In 3.19-3.45
4 Nd 0.7475 0.7475 0.7475  8 In 3.19-3.45
5 In 0.1222 0.1222 0.1222  1 Li 3.23, 4 Nd 3.28-3.45, 3 Ca 3.31
6 In 0.3731 0.3731 0.3731  4 Nd 3.19-3.27, 3 Li 3.26, 1 Ca 3.35
7 In 0.6269 0.6269 0.6269  4 Nd 3.19-3.27, 3 Li 3.26, 1 Ca 3.35
8 In 0.8778 0.8778 0.8778  1 Li 3.23, 4 Nd 3.28-3.45, 3 Ca 3.31

Density functional theory data (GGA-PBE) for a relaxed DyHoMn crystal.

Results
- mass density (g/cm³) = 8.35
- formation energy from the elements (eV per atom) = 0.18
- excess energy over the best structure of this formula in the dataset (eV per atom) = 0.0417
- N(E_F) (states/eV/atom) = 1.34

abc: 6.9259 6.9259 7.5804
angles: 90.00 90.00 123.25
Closest atoms and distances in Å follow each position.
Element x y z (fractional)
1 Dy 0.1944 0.8056 0.8911  2 Mn 2.81-2.83
2 Dy 0.3056 0.6944 0.3911  2 Mn 2.81-2.83
3 Dy 0.6944 0.3056 0.6089  2 Mn 2.81-2.83
4 Dy 0.8056 0.1944 0.1089  2 Mn 2.81-2.83
5 Ho 0.2003 0.2997 0.7500  4 Mn 2.86-2.87
6 Ho 0.2997 0.2003 0.2500  4 Mn 2.86-2.87
7 Ho 0.7003 0.7997 0.7500  4 Mn 2.86-2.87
8 Ho 0.7997 0.7003 0.2500  4 Mn 2.86-2.87
9 Mn 0.0975 0.9025 0.5512  1 Mn 2.50
10 Mn 0.4025 0.5975 0.0512  1 Mn 2.50
11 Mn 0.5975 0.4025 0.9488  1 Mn 2.50
12 Mn 0.9025 0.0975 0.4488  1 Mn 2.50

Density functional theory data (GGA-PBE) for a relaxed CaAl2Zn crystal.

Results
- mass density (g/cm³) = 3.19
- formation energy from the elements (eV per atom) = 0.03
- N(E_F) (states/eV/atom) = 0.45

abc: 5.9351 9.1574 3.0533
angles: 90.00 91.29 90.00
Closest atoms and distances in Å follow each position.
Element x y z (fractional)
1 Ca 0.0000 0.0000 0.0000  2 Zn 2.97, 2 Ca 3.05, 8 Al 3.11-3.14
2 Ca 0.5000 0.5000 0.0000  2 Zn 2.97, 2 Ca 3.05, 8 Al 3.11-3.14
3 Al 0.2500 0.2500 0.5000  4 Al 2.97-3.05, 4 Ca 3.11-3.14, 4 Zn 3.11-3.14
4 Al 0.2500 0.7500 0.5000  4 Al 2.97-3.05, 4 Ca 3.11-3.14, 4 Zn 3.11-3.14
5 Al 0.7500 0.2500 0.5000  4 Al 2.97-3.05, 4 Ca 3.11-3.14, 4 Zn 3.11-3.14
6 Al 0.7500 0.7500 0.5000  4 Al 2.97-3.05, 4 Ca 3.11-3.14, 4 Zn 3.11-3.14
7 Zn 0.0000 0.5000 0.0000  2 Ca 2.97, 2 Zn 3.05, 8 Al 3.11-3.14
8 Zn 0.5000 0.0000 0.0000  2 Ca 2.97, 2 Zn 3.05, 8 Al 3.11-3.14

Density functional theory data (GGA-PBE) for a relaxed Li5Sc3Cl12 crystal.

Results
- ΔE_f (raw) (eV per atom) = -1.744
- mass density (g/cm³) = 2.39
- N(E_F) (states/eV/atom) = 0.62

abc: 12.9026 12.9026 12.9026
angles: 109.47 109.47 109.47
Closest atoms and distances in Å follow each position.
Element x y z (fractional)
1 Li 0.0000 0.0000 0.0000  6 Cl 2.52
2 Li 0.0000 0.0000 0.5000  6 Cl 2.52
3 Li 0.0000 0.5000 0.0000  6 Cl 2.52
4 Li 0.0000 0.5000 0.5000  6 Cl 2.52
5 Li 0.1250 0.7500 0.8750  4 Cl 2.28
6 Li 0.1250 0.8750 0.2500  4 Cl 2.28
7 Li 0.2500 0.1250 0.8750  4 Cl 2.28
8 Li 0.2500 0.6250 0.3750  4 Cl 2.28
9 Li 0.3750 0.2500 0.6250  4 Cl 2.28
10 Li 0.3750 0.6250 0.7500  4 Cl 2.28
11 Li 0.5000 0.0000 0.0000  6 Cl 2.52
12 Li 0.5000 0.0000 0.5000  6 Cl 2.52
13 Li 0.5000 0.5000 0.0000  6 Cl 2.52
14 Li 0.5000 0.5000 0.5000  6 Cl 2.52
15 Li 0.6250 0.3750 0.2500  4 Cl 2.28
16 Li 0.6250 0.7500 0.3750  4 Cl 2.28
17 Li 0.7500 0.3750 0.6250  4 Cl 2.28
18 Li 0.7500 0.8750 0.1250  4 Cl 2.28
19 Li 0.8750 0.1250 0.7500  4 Cl 2.28
20 Li 0.8750 0.2500 0.1250  4 Cl 2.28
21 Sc 0.1250 0.2500 0.3750  8 Cl 2.80-2.83
22 Sc 0.1250 0.3750 0.7500  8 Cl 2.80-2.83
23 Sc 0.2500 0.3750 0.1250  8 Cl 2.80-2.83
24 Sc 0.2500 0.8750 0.6250  8 Cl 2.80-2.83
25 Sc 0.3750 0.1250 0.2500  8 Cl 2.80-2.83
26 Sc 0.3750 0.7500 0.1250  8 Cl 2.80-2.83
27 Sc 0.6250 0.2500 0.8750  8 Cl 2.80-2.83
28 Sc 0.6250 0.8750 0.7500  8 Cl 2.80-2.83
29 Sc 0.7500 0.1250 0.3750  8 Cl 2.80-2.83
30 Sc 0.7500 0.6250 0.8750  8 Cl 2.80-2.83
31 Sc 0.8750 0.6250 0.2500  8 Cl 2.80-2.83
32 Sc 0.8750 0.7500 0.6250  8 Cl 2.80-2.83
33 Cl 0.0404 0.2197 0.1286  2 Li 2.28-2.52
34 Cl 0.0404 0.3207 0.9118  2 Li 2.28-2.52
35 Cl 0.0882 0.6286 0.4089  2 Li 2.28-2.52
36 Cl 0.0882 0.9596 0.6793  2 Li 2.28-2.52
37 Cl 0.0911 0.7197 0.6793  2 Li 2.28-2.52
38 Cl 0.0911 0.8714 0.4118  2 Li 2.28-2.52
39 Cl 0.1286 0.0404 0.2197  2 Li 2.28-2.52
40 Cl 0.1286 0.5882 0.9089  2 Li 2.28-2.52
41 Cl 0.1793 0.2197 0.5911  2 Li 2.28-2.52
42 Cl 0.1793 0.4596 0.5882  2 Li 2.28-2.52
43 Cl 0.2197 0.1286 0.0404  2 Li 2.28-2.52
44 Cl 0.2197 0.5911 0.1793  2 Li 2.28-2.52
45 Cl 0.2803 0.3207 0.9089  2 Li 2.28-2.52
46 Cl 0.2803 0.4596 0.3714  2 Li 2.28-2.52
47 Cl 0.3207 0.9089 0.2803  2 Li 2.28-2.52
48 Cl 0.3207 0.9118 0.0404  2 Li 2.28-2.52
49 Cl 0.3714 0.2803 0.4596  2 Li 2.28-2.52
50 Cl 0.3714 0.5911 0.9118  2 Li 2.28-2.52
51 Cl 0.4089 0.0882 0.6286  2 Li 2.28-2.52
52 Cl 0.4089 0.8207 0.7803  2 Li 2.28-2.52
53 Cl 0.4118 0.0911 0.8714  2 Li 2.28-2.52
54 Cl 0.4118 0.8207 0.5404  2 Li 2.28-2.52
55 Cl 0.4596 0.3714 0.2803  2 Li 2.28-2.52
56 Cl 0.4596 0.5882 0.1793  2 Li 2.28-2.52
57 Cl 0.5404 0.4118 0.8207  2 Li 2.28-2.52
58 Cl 0.5404 0.6286 0.7197  2 Li 2.28-2.52
59 Cl 0.5882 0.1793 0.4596  2 Li 2.28-2.52
60 Cl 0.5882 0.9089 0.1286  2 Li 2.28-2.52
61 Cl 0.5911 0.1793 0.2197  2 Li 2.28-2.52
62 Cl 0.5911 0.9118 0.3714  2 Li 2.28-2.52
63 Cl 0.6286 0.4089 0.0882  2 Li 2.28-2.52
64 Cl 0.6286 0.7197 0.5404  2 Li 2.28-2.52
65 Cl 0.6793 0.0882 0.9596  2 Li 2.28-2.52
66 Cl 0.6793 0.0911 0.7197  2 Li 2.28-2.52
67 Cl 0.7197 0.5404 0.6286  2 Li 2.28-2.52
68 Cl 0.7197 0.6793 0.0911  2 Li 2.28-2.52
69 Cl 0.7803 0.4089 0.8207  2 Li 2.28-2.52
70 Cl 0.7803 0.8714 0.9596  2 Li 2.28-2.52
71 Cl 0.8207 0.5404 0.4118  2 Li 2.28-2.52
72 Cl 0.8207 0.7803 0.4089  2 Li 2.28-2.52
73 Cl 0.8714 0.4118 0.0911  2 Li 2.28-2.52
74 Cl 0.8714 0.9596 0.7803  2 Li 2.28-2.52
75 Cl 0.9089 0.1286 0.5882  2 Li 2.28-2.52
76 Cl 0.9089 0.2803 0.3207  2 Li 2.28-2.52
77 Cl 0.9118 0.0404 0.3207  2 Li 2.28-2.52
78 Cl 0.9118 0.3714 0.5911  2 Li 2.28-2.52
79 Cl 0.9596 0.6793 0.0882  2 Li 2.28-2.52
80 Cl 0.9596 0.7803 0.8714  2 Li 2.28-2.52

Density functional theory data (GGA-PBE) for a relaxed Pa2CoH crystal.

Results
- mass density (g/cm³) = 13.79
- excess energy over the best structure of this formula in the dataset (eV per atom) = 0.0937
- N(E_F) (states/eV/atom) = 1.49

abc: 3.1468 3.1468 6.3479
angles: 90.00 90.00 90.00
Closest atoms and distances in Å follow each position.
Element x y z (fractional)
1 Pa 0.0000 0.0000 0.2248  4 H 2.64, 4 Co 2.83, 1 Pa 2.85
2 Pa 0.0000 0.0000 0.7752  4 H 2.64, 4 Co 2.83, 1 Pa 2.85
3 Co 0.5000 0.5000 0.5000  8 Pa 2.83, 4 Co 3.15
4 H 0.5000 0.5000 0.0000  8 Pa 2.64

Number 1: magnetic moment 0.000 μB per cell. Number 2: magnetic moment 0.486 μB per cell. Number 3: magnetic moment 0.000 μB per cell. Number 4: magnetic moment 0.018 μB per cell. Number 5: magnetic moment 0.000 μB per cell. Number 6: magnetic moment 0.535 μB per cell. Number 7: magnetic moment 0.000 μB per cell. Number 8: magnetic moment 0.000 μB per cell. Number 9: magnetic moment 6.759 μB per cell. Number 10: magnetic moment 0.000 μB per cell. Number 11: magnetic moment 8.001 μB per cell. Number 12: magnetic moment 0.002 μB per cell.